No. 1
Mg4Au: optimized geometry, PBE.

```
Mg4Au
1.0
5.127 0.000 0.000
0.000 5.127 0.000
0.000 0.000 5.127
Mg Au
4 1
direct
0.000 0.000 0.000 Mg
0.500 0.000 0.500 Mg
0.000 0.500 0.500 Mg
0.500 0.500 0.000 Mg
0.500 0.500 0.500 Au
```

Output
The value obtained for the total DFT energy (no corrections) is -1.988 eV per atom.

---

No. 2
Mg3Au5: optimized geometry, PBE.

```
Mg3Au5
1.0
-5.456 5.823 -0.101
-1.307 -6.623 4.256
2.346 2.272 4.256
Mg Au
6 10
direct
0.000 0.395 0.750 Mg
0.000 0.605 0.250 Mg
0.395 0.000 0.750 Mg
0.395 0.395 0.250 Mg
0.605 0.000 0.250 Mg
0.605 0.605 0.750 Mg
0.000 0.225 0.250 Au
0.000 0.775 0.750 Au
0.225 0.000 0.250 Au
0.225 0.225 0.750 Au
0.333 0.667 0.000 Au
0.333 0.667 0.500 Au
0.667 0.333 0.000 Au
0.667 0.333 0.500 Au
0.775 0.000 0.750 Au
0.775 0.775 0.250 Au
```

Output
The value obtained for the total DFT energy (no corrections) is -3.038 eV per atom.

---

No. 3
Mg3Au2: optimized geometry, PBE.

```
Mg3Au2
1.0
11.332 -1.602 0.068
11.332 1.602 0.068
11.089 0.000 2.832
Mg Au
3 2
direct
0.000 0.000 0.000 Mg
0.793 0.793 0.793 Mg
0.207 0.207 0.207 Mg
0.603 0.603 0.603 Au
0.397 0.397 0.397 Au
```

Output
The value obtained for the total DFT energy (no corrections) is -2.567 eV per atom.

---

No. 4
Mg3Au2: optimized geometry, PBE.

```
Mg3Au2
1.0
0.000 4.961 7.110
2.648 0.000 7.110
2.648 4.961 0.000
Mg Au
6 4
direct
0.480 0.736 0.443 Mg
0.341 0.443 0.736 Mg
0.514 0.770 0.909 Mg
0.807 0.909 0.770 Mg
0.910 0.090 0.090 Mg
0.160 0.340 0.340 Mg
0.914 0.194 0.537 Au
0.354 0.537 0.194 Au
0.056 0.336 0.896 Au
0.713 0.896 0.336 Au
```

Output
The value obtained for the total DFT energy (no corrections) is -2.722 eV per atom.

---

No. 5
MgAu3: optimized geometry, PBE.

```
MgAu3
1.0
-4.929 1.689 0.942
0.189 -2.147 4.836
1.924 4.535 1.939
Au Mg
6 2
direct
0.000 0.250 0.500 Au
0.000 0.750 0.500 Au
0.250 0.500 0.000 Au
0.500 0.000 0.250 Au
0.500 0.000 0.750 Au
0.750 0.500 0.000 Au
0.000 0.000 0.000 Mg
0.500 0.500 0.500 Mg
```

Output
The value obtained for the total DFT energy (no corrections) is -3.164 eV per atom.

---

No. 6
MgAu3: optimized geometry, PBE.

```
MgAu3
1.0
5.849 0.000 0.000
-2.925 5.066 0.000
0.000 0.000 4.802
Au Mg
6 2
direct
0.832 0.168 0.250 Au
0.168 0.832 0.750 Au
0.832 0.664 0.250 Au
0.168 0.336 0.750 Au
0.336 0.168 0.250 Au
0.664 0.832 0.750 Au
0.333 0.667 0.250 Mg
0.667 0.333 0.750 Mg
```

Output
The value obtained for the total DFT energy (no corrections) is -3.272 eV per atom.

---

No. 7
Mg5Au: optimized geometry, PBE.

```
Mg5Au
1.0
-3.554 3.727 2.362
-1.658 4.570 -2.910
-5.339 0.393 -1.856
Mg Au
5 1
direct
0.877 0.374 0.374 Mg
0.750 0.750 0.750 Mg
0.374 0.877 0.374 Mg
0.374 0.374 0.374 Mg
0.374 0.374 0.877 Mg
0.000 0.000 0.000 Au
```

Output
The value obtained for the total DFT energy (no corrections) is -1.854 eV per atom.

---

No. 8
Mg5Au: optimized geometry, PBE.

```
Mg5Au
1.0
6.620 0.131 0.000
-5.252 4.032 0.000
0.000 0.000 4.482
Au Mg
1 5
direct
0.972 0.028 0.000 Au
0.811 0.189 0.500 Mg
0.629 0.371 0.000 Mg
0.472 0.528 0.500 Mg
0.315 0.685 0.000 Mg
0.134 0.866 0.500 Mg
```

Output
The value obtained for the total DFT energy (no corrections) is -2.091 eV per atom.

---

No. 9
MgAu6: optimized geometry, PBE.

```
MgAu6
1.0
-5.473 -0.980 3.301
3.071 -5.634 -0.802
3.797 4.077 3.283
Mg Au
1 6
direct
0.000 0.000 0.000 Mg
0.250 0.750 0.500 Au
0.500 0.750 0.250 Au
0.250 0.500 0.750 Au
0.750 0.250 0.500 Au
0.500 0.250 0.750 Au
0.750 0.500 0.250 Au
```

Output
The value obtained for the total DFT energy (no corrections) is -2.468 eV per atom.

---

No. 10
MgAu3: optimized geometry, PBE.

```
MgAu3
1.0
-7.242 -7.435 -1.871
8.546 2.956 5.427
-5.608 3.755 6.786
Au Mg
24 8
direct
0.043 0.957 0.250 Au
0.957 0.043 0.750 Au
0.791 0.209 0.250 Au
0.209 0.791 0.750 Au
0.000 0.500 0.000 Au
0.000 0.500 0.500 Au
0.500 0.000 0.500 Au
0.500 0.000 0.000 Au
0.749 0.749 0.000 Au
0.251 0.251 0.500 Au
0.251 0.251 0.000 Au
0.749 0.749 0.500 Au
0.374 0.626 0.999 Au
0.626 0.374 0.499 Au
0.374 0.626 0.501 Au
0.626 0.374 0.001 Au
0.918 0.586 0.250 Au
0.082 0.414 0.750 Au
0.414 0.082 0.250 Au
0.586 0.918 0.750 Au
0.666 0.834 0.250 Au
0.334 0.166 0.750 Au
0.166 0.334 0.250 Au
0.834 0.666 0.750 Au
0.293 0.707 0.250 Mg
0.707 0.293 0.750 Mg
0.540 0.460 0.250 Mg
0.460 0.540 0.750 Mg
0.124 0.876 0.999 Mg
0.876 0.124 0.499 Mg
0.124 0.876 0.501 Mg
0.876 0.124 0.001 Mg
```

Output
The value obtained for the total DFT energy (no corrections) is -3.259 eV per atom.

---

No. 11
MgAu3: optimized geometry, PBE.

```
MgAu3
1.0
-2.550 1.722 -1.560
-1.347 -3.073 -1.191
-3.285 -0.449 4.874
Mg Au
1 3
direct
0.500 0.500 0.250 Mg
0.000 0.000 0.007 Au
0.000 0.000 0.493 Au
0.500 0.500 0.750 Au
```

Output
The value obtained for the total DFT energy (no corrections) is -3.214 eV per atom.

---

No. 12
Mg5Au: optimized geometry, PBE.

```
Mg5Au
1.0
2.762 -4.785 0.000
2.762 4.785 0.000
0.000 0.000 5.263
Mg Au
5 1
direct
0.000 0.500 0.500 Mg
0.333 0.667 0.000 Mg
0.500 0.000 0.500 Mg
0.500 0.500 0.500 Mg
0.667 0.333 0.000 Mg
0.000 0.000 0.000 Au
```

Output
The value obtained for the total DFT energy (no corrections) is -1.726 eV per atom.

---

No. 13
Mg4Au: optimized geometry, PBE.

```
Mg4Au
1.0
-3.149 3.149 3.149
3.149 -3.149 3.149
3.149 3.149 -3.149
Mg Au
4 1
direct
0.500 0.000 0.000 Mg
0.500 0.500 0.500 Mg
0.000 0.500 0.000 Mg
0.000 0.000 0.500 Mg
0.000 0.000 0.000 Au
```

Output
The value obtained for the total DFT energy (no corrections) is -2.056 eV per atom.